# 1
The following is a DFT calculation (PBE) of an optimized crystal structure of Tb4DyMg2.

Computed properties:
ΔH_f (0 K), eV per atom: -0.022

Unit cell a=5.451 b=5.451 c=8.607 alpha=71.54 beta=71.54 gamma=60.00
Fractional positions:
Tb  0.155  0.155  0.535
Tb  0.427  0.427  0.720
Tb  0.845  0.845  0.465
Tb  0.573  0.573  0.280
Dy  0.000  0.000  0.000
Mg  0.289  0.289  0.132
Mg  0.711  0.711  0.868


# 2
The following is a DFT calculation (PBE) of an optimized crystal structure of NaCeO2.

Computed properties:
Formation energy (no corrections), eV/atom: -2.606

Unit cell a=4.776 b=4.776 c=6.452 alpha=111.72 beta=111.72 gamma=90.00
Fractional positions:
O  0.030  0.530  0.061
O  0.470  0.970  0.939
Ce  0.250  0.750  0.500
Na  0.500  0.500  0.000
O  0.780  0.780  0.561
Na  0.750  0.250  0.500
O  0.220  0.220  0.439
Ce  0.000  0.000  0.000


# 3
The following is a DFT calculation (PBE) of an optimized crystal structure of In2CuGe2Rh5.

Computed properties:
ΔH_f (0 K), eV per atom: -0.208

Unit cell a=3.426 b=9.685 c=9.685 alpha=90.00 beta=90.00 gamma=90.00
Fractional positions:
Rh  0.500  0.694  0.415
Cu  0.000  0.500  0.500
Cu  0.000  0.000  0.000
In  0.000  0.170  0.330
Rh  0.500  0.585  0.694
Ge  0.000  0.133  0.633
Rh  0.500  0.306  0.585
Rh  0.500  0.085  0.806
In  0.000  0.830  0.670
Rh  0.500  0.806  0.915
In  0.000  0.330  0.830
Ge  0.000  0.867  0.367
Rh  0.500  0.915  0.194
Rh  0.500  0.415  0.306
Rh  0.500  0.000  0.500
Rh  0.500  0.194  0.085
In  0.000  0.670  0.170
Rh  0.500  0.500  0.000
Ge  0.000  0.367  0.133
Ge  0.000  0.633  0.867


# 4
The following is a DFT calculation (PBE) of an optimized crystal structure of NbCr.

Computed properties:
ΔH_f (0 K), eV per atom: 0.223

Unit cell a=2.652 b=2.851 c=8.803 alpha=86.80 beta=81.43 gamma=67.84
Fractional positions:
Nb  0.320  0.751  0.856
Nb  0.680  0.249  0.144
Cr  0.947  0.253  0.603
Cr  0.053  0.747  0.397